1.
DFT (GGA-PBE) results for ScFe2Ni after structural relaxation.

Output
SG = Cmmm
E_tot = -7.135 eV/atom

abc: 4.7100 4.7100 2.6872
angles: 90.00 90.00 114.50
Fractional positions:
Sc 0.0000 0.0000 0.0000
Fe 0.0000 0.5000 0.5000
Fe 0.5000 0.0000 0.5000
Ni 0.5000 0.5000 0.0000

2.
DFT (GGA-PBE) results for Ca5InSn4 after structural relaxation.

Output
SG = P4/mmm
E_tot = -3.454 eV/atom

abc: 3.7258 3.7258 20.6856
angles: 90.00 90.00 90.00
Fractional positions:
Ca 0.0000 0.0000 0.0000
Ca 0.0000 0.0000 0.2049
Ca 0.0000 0.0000 0.4045
Ca 0.0000 0.0000 0.5955
Ca 0.0000 0.0000 0.7951
In 0.5000 0.5000 0.5000
Sn 0.5000 0.5000 0.1030
Sn 0.5000 0.5000 0.3075
Sn 0.5000 0.5000 0.6925
Sn 0.5000 0.5000 0.8970

3.
DFT (GGA-PBE) results for Tb4PrHo3S8 after structural relaxation.

Output
SG = R-3m
E_tot = -6.365 eV/atom

abc: 7.8672 7.8672 7.8672
angles: 60.08 60.08 60.08
Fractional positions:
Tb 0.0000 0.0000 0.0000
Tb 0.0000 0.5000 0.5000
Tb 0.5000 0.0000 0.5000
Tb 0.5000 0.5000 0.0000
Pr 0.5000 0.5000 0.5000
Ho 0.0000 0.0000 0.5000
Ho 0.0000 0.5000 0.0000
Ho 0.5000 0.0000 0.0000
S 0.2415 0.7554 0.7554
S 0.2446 0.2446 0.7585
S 0.2446 0.7585 0.2446
S 0.2485 0.2485 0.2485
S 0.7515 0.7515 0.7515
S 0.7554 0.2415 0.7554
S 0.7554 0.7554 0.2415
S 0.7585 0.2446 0.2446

4.
DFT (GGA-PBE) results for TcNiGeMo after structural relaxation.

Output
SG = F-43m
E_tot = -7.885 eV/atom

abc: 4.2774 4.2774 4.2774
angles: 60.00 60.00 60.00
Fractional positions:
Tc 0.0000 0.0000 0.0000
Ni 0.2500 0.2500 0.2500
Ge 0.7500 0.7500 0.7500
Mo 0.5000 0.5000 0.5000

5.
DFT (GGA-PBE) results for K4Tb3BiSe8 after structural relaxation.

Output
SG = R-3m
E_tot = -4.653 eV/atom

abc: 9.1314 9.1314 9.1314
angles: 55.57 55.57 55.57
Fractional positions:
K 0.0000 0.0000 0.0000
K 0.0000 0.5000 0.5000
K 0.5000 0.0000 0.5000
K 0.5000 0.5000 0.0000
Tb 0.0000 0.0000 0.5000
Tb 0.0000 0.5000 0.0000
Tb 0.5000 0.0000 0.0000
Bi 0.5000 0.5000 0.5000
Se 0.2300 0.7388 0.7388
Se 0.2350 0.2350 0.2350
Se 0.2612 0.2612 0.7700
Se 0.2612 0.7700 0.2612
Se 0.7388 0.2300 0.7388
Se 0.7388 0.7388 0.2300
Se 0.7650 0.7650 0.7650
Se 0.7700 0.2612 0.2612

6.
DFT (GGA-PBE) results for Ba3Cd4Pt4 after structural relaxation.

Output
energy above the lowest structure with this stoichiometry = 0 meV/atom
SG = Immm
E_tot = -3.638 eV/atom

abc: 8.9730 8.9730 8.9730
angles: 150.12 127.00 62.04
Fractional positions:
Ba 0.0000 0.0000 0.0000
Ba 0.3769 0.8769 0.5000
Ba 0.6231 0.1231 0.5000
Cd 0.0193 0.3270 0.6923
Cd 0.3653 0.6730 0.6923
Cd 0.6347 0.3270 0.3077
Cd 0.9807 0.6730 0.3077
Pt 0.2180 0.2180 0.0000
Pt 0.3240 0.5000 0.8240
Pt 0.6760 0.5000 0.1760
Pt 0.7820 0.7820 0.0000

7.
DFT (GGA-PBE) results for Dy4Zn5Pt6 after structural relaxation.

Output
SG = Cmc2_1
E_tot = -4.918 eV/atom

abc: 10.3857 10.3857 14.5951
angles: 90.00 90.00 157.80
Fractional positions:
Dy 0.0157 0.9843 0.5000
Dy 0.0412 0.9588 0.7630
Dy 0.1521 0.8479 0.2824
Dy 0.1846 0.8154 0.9277
Dy 0.8154 0.1846 0.4277
Dy 0.8479 0.1521 0.7824
Dy 0.9588 0.0412 0.2630
Dy 0.9843 0.0157 0.0000
Zn 0.1634 0.8366 0.6160
Zn 0.3090 0.6910 0.5975
Zn 0.3350 0.6650 0.2623
Zn 0.3575 0.6425 0.9645
Zn 0.4514 0.5486 0.6604
Zn 0.5486 0.4514 0.1604
Zn 0.6425 0.3575 0.4645
Zn 0.6650 0.3350 0.7623
Zn 0.6910 0.3090 0.0975
Zn 0.8366 0.1634 0.1160
Pt 0.1081 0.8919 0.0910
Pt 0.2197 0.7803 0.4616
Pt 0.2446 0.7554 0.7494
Pt 0.4194 0.5806 0.4066
Pt 0.4206 0.5794 0.1218
Pt 0.4492 0.5508 0.8441
Pt 0.5508 0.4492 0.3441
Pt 0.5794 0.4206 0.6218
Pt 0.5806 0.4194 0.9066
Pt 0.7554 0.2446 0.2494
Pt 0.7803 0.2197 0.9616
Pt 0.8919 0.1081 0.5910

8.
DFT (GGA-PBE) results for CdSF2 after structural relaxation.

Output
energy above the lowest structure with this stoichiometry = 169 meV/atom
SG = I-42d
E_tot = -2.999 eV/atom

abc: 6.4742 6.4742 6.4742
angles: 120.46 120.46 89.20
Fractional positions:
Cd 0.0000 0.0000 0.0000
Cd 0.7500 0.2500 0.5000
S 0.2500 0.7500 0.5000
S 0.5000 0.5000 0.0000
F 0.0055 0.6250 0.8805
F 0.3750 0.2555 0.3805
F 0.7445 0.1250 0.1195
F 0.8750 0.9945 0.6195

| no. | Fermi-level density of states (states/eV/atom) |
| --- | --- |
| 1 | 1.1120 |
| 2 | 0.4025 |
| 3 | 0.5455 |
| 4 | 1.0272 |
| 5 | 0.0000 |
| 6 | 0.3213 |
| 7 | 0.3956 |
| 8 | 0.1423 |